No. 1
# GdPu2Ga | the Alexandria database | PBE | relaxed
data_GdPu2Ga
_cell_length_a 7.390
_cell_length_b 7.390
_cell_length_c 7.390
_cell_angle_alpha 90.00
_cell_angle_beta 90.00
_cell_angle_gamma 90.00
_symmetry_space_group_name_H-M 'F m -3 m'
_symmetry_Int_Tables_number 225
_symmetry_space_group_name_Hall '-F 4 2 3'
loop_
_atom_site_label
_atom_site_fract_x
_atom_site_fract_y
_atom_site_fract_z
_atom_site_occupancy
Gd1 0.000 0.000 0.000 1
Pu1 0.250 0.250 0.250 1
Ga1 0.000 0.000 0.500 1
# distance to the lowest polymorph of the same formula = 0.204 eV/atom
# DOS(E_F) = 11.00 states/eV/f.u.
# DFT total energy = -182.32 eV per cell
# formation energy = 1.110 kcal/mol of atoms
# V = 404 Å³/cell
# magnetization = 5.079 μB per atom


No. 2
# LiCuNi2H | the Alexandria database | PBE | relaxed
data_LiCuNi2H
_cell_length_a 3.545
_cell_length_b 3.545
_cell_length_c 3.726
_cell_angle_alpha 90.00
_cell_angle_beta 90.00
_cell_angle_gamma 90.00
_symmetry_space_group_name_H-M 'P 4/m m m'
_symmetry_Int_Tables_number 123
_symmetry_space_group_name_Hall '-P 4 2'
loop_
_atom_site_label
_atom_site_fract_x
_atom_site_fract_y
_atom_site_fract_z
_atom_site_occupancy
Li1 0.000 0.000 0.000 1
Cu1 0.500 0.500 0.000 1
Ni1 0.000 0.500 0.500 1
H1 0.000 0.000 0.500 1
# distance to the lowest polymorph of the same formula = 0.000 eV/atom
# DOS(E_F) = 4.88 states/eV/f.u.
# DFT total energy = -21.38 eV per cell
# V = 47 Å³/cell
# magnetization = 0.000 μB per atom


No. 3
# CsBe3Mo | the Alexandria database | PBE | relaxed
data_CsBe3Mo
_cell_length_a 4.617
_cell_length_b 4.617
_cell_length_c 4.617
_cell_angle_alpha 90.00
_cell_angle_beta 90.00
_cell_angle_gamma 90.00
_symmetry_space_group_name_H-M 'P m -3 m'
_symmetry_Int_Tables_number 221
_symmetry_space_group_name_Hall '-P 4 2 3'
loop_
_atom_site_label
_atom_site_fract_x
_atom_site_fract_y
_atom_site_fract_z
_atom_site_occupancy
Cs1 0.000 0.000 0.000 1
Be1 0.000 0.000 0.500 1
Mo1 0.500 0.500 0.500 1
# distance to the lowest polymorph of the same formula = 1.669 eV/atom
# DOS(E_F) = 4.21 states/eV/f.u.
# DFT total energy = -7.61 eV per cell
# formation energy = 70.350 kcal/mol of atoms
# V = 98 Å³/cell
# magnetization = 0.000 μB per atom


No. 4
# Ce5IrCl5 | the Alexandria database | PBE | relaxed
data_Ce5IrCl5
_cell_length_a 5.731
_cell_length_b 6.984
_cell_length_c 8.204
_cell_angle_alpha 72.33
_cell_angle_beta 89.96
_cell_angle_gamma 65.88
_symmetry_space_group_name_H-M 'P -1'
_symmetry_Int_Tables_number 2
_symmetry_space_group_name_Hall '-P 1'
loop_
_atom_site_label
_atom_site_fract_x
_atom_site_fract_y
_atom_site_fract_z
_atom_site_occupancy
Ce1 0.000 0.000 0.000 1
Ce2 0.325 0.350 0.153 1
Ce3 0.342 0.318 0.684 1
Ir1 0.500 0.000 0.000 1
Cl1 0.154 0.691 0.806 1
Cl2 0.158 0.681 0.350 1
Cl3 0.500 0.000 0.500 1
# DOS(E_F) = 28.80 states/eV/f.u.
# DFT total energy = -63.71 eV per cell
# V = 283 Å³/cell
# magnetization = 0.474 μB per atom
# formation energy from raw total energies = -1.450 eV/atom